[1]
Material: AlMo2Au
Method: DFT, SCAN
State: single point on PBEsol structure

```
4
Lattice="2.784 0.000 0.001 0.000 4.334 0.000 -0.620 0.000 5.154" Properties=species:S:1:pos:R:3 pbc="T T T"
Mo 2.678 0.000 0.056
Mo 1.982 2.167 1.309
Au 0.623 2.167 3.832
Al 0.747 0.000 2.537
```

Properties
space group: Pm (6)
DOS at the Fermi energy: 1.7 states/eV/f.u.
E_form: -0.6 eV per formula unit

[2]
Material: Al2MoAu
Method: DFT, SCAN
State: single point on PBEsol structure

```
4
Lattice="-3.616 -2.366 -0.677 -0.040 -3.097 -3.088 -0.096 -4.222 1.138" Properties=species:S:1:pos:R:3 pbc="T T T"
Mo -1.876 -4.842 -1.314
Au 0.000 0.000 0.000
Al -0.938 -2.421 -0.657
Al -2.814 -7.264 -1.970
```

Properties
energy relative to the lowest polymorph listed for this composition: 129 meV per atom
space group: Fm-3m (225)
DOS at the Fermi energy: 2.0 states/eV/f.u.
E_form: -1.4 eV per formula unit

[3]
Material: AlMo2Au
Method: DFT, SCAN
State: single point on PBEsol structure

```
4
Lattice="-1.684 2.023 0.790 -2.967 -2.895 1.089 1.994 -0.226 4.830" Properties=species:S:1:pos:R:3 pbc="T T T"
Mo 1.521 -0.172 3.685
Mo 0.473 -0.054 1.145
Au -1.329 -0.549 3.355
Al -2.326 -0.436 0.939
```

Properties
space group: Pmmm (47)
DOS at the Fermi energy: 2.0 states/eV/f.u.
E_form: -0.3 eV per formula unit

[4]
Material: AlMo2Au
Method: DFT, SCAN
State: single point on PBEsol structure

```
4
Lattice="2.750 0.000 0.000 0.000 5.016 -0.010 0.000 -2.295 4.460" Properties=species:S:1:pos:R:3 pbc="T T T"
Mo 0.000 2.508 -0.005
Mo 0.000 -1.147 2.230
Au 1.375 1.361 2.225
Al 1.375 0.000 0.000
```

Properties
space group: Cmmm (65)
DOS at the Fermi energy: 1.8 states/eV/f.u.
E_form: -0.3 eV per formula unit

[5]
Material: Al2MoAu
Method: DFT, SCAN
State: single point on PBEsol structure

```
4
Lattice="-1.396 -2.482 -0.295 1.440 -2.472 0.097 -1.189 -2.011 8.649" Properties=species:S:1:pos:R:3 pbc="T T T"
Mo 0.000 0.000 0.000
Au -0.572 -3.482 4.225
Al -0.282 -1.740 2.084
Al -0.862 -5.225 6.367
```

Properties
energy relative to the lowest polymorph listed for this composition: 281 meV per atom
space group: R-3m (166)
DOS at the Fermi energy: 2.3 states/eV/f.u.
E_form: -0.8 eV per formula unit

[6]
Material: AlMo2Au
Method: DFT, SCAN
State: single point on PBEsol structure

```
4
Lattice="-1.399 2.306 0.184 -0.046 -0.246 2.692 7.170 4.310 0.517" Properties=species:S:1:pos:R:3 pbc="T T T"
Mo 1.867 1.122 0.135
Mo 5.303 3.188 0.382
Au -0.723 1.030 1.438
Al 2.863 3.185 1.696
```

Properties
space group: P4/mmm (123)
DOS at the Fermi energy: 2.6 states/eV/f.u.
E_form: 0.0 eV per formula unit

[7]
Material: AlMo2Au
Method: DFT, SCAN
State: single point on PBEsol structure

```
4
Lattice="-0.288 -1.890 -1.964 -0.835 -1.083 2.376 -8.098 2.843 -1.548" Properties=species:S:1:pos:R:3 pbc="T T T"
Mo -8.013 2.814 -1.532
Mo -6.602 0.634 -0.949
Au -2.666 -0.748 -0.197
Al -4.088 1.435 -0.781
```

Properties
space group: Cmm2 (35)
DOS at the Fermi energy: 1.6 states/eV/f.u.
E_form: -0.3 eV per formula unit

[8]
Material: Al2MoAu
Method: DFT, SCAN
State: single point on PBEsol structure

```
4
Lattice="2.879 0.000 0.000 1.439 2.493 0.000 1.439 0.831 8.802" Properties=species:S:1:pos:R:3 pbc="T T T"
Mo 1.439 0.831 2.153
Au 2.879 1.662 4.467
Al 4.318 2.493 0.017
Al 4.318 2.493 6.567
```

Properties
energy relative to the lowest polymorph listed for this composition: 414 meV per atom
space group: R3m (160)
DOS at the Fermi energy: 1.6 states/eV/f.u.
E_form: -0.3 eV per formula unit